This record from Alexandria describes a geometry-optimized AlI2O2 structure. The functional is PBE.

Calculated values
- calculated total energy (eV for the cell shown) = -18.3
- E above lowest polymorph (kJ per mole of atoms) = 8.5
- volume (Å³ per cell) = 116.07
- energy relative to the elements, uncorrected (eV/atom) = -0.32

a = 5.884 Å, b = 5.884 Å, c = 3.352 Å
α = 90.00°, β = 90.00°, γ = 90.00°
Space group P4/mmm (No. 123)
Symmetry-distinct sites (fractional):
Al 0.000 0.000 0.000 [1 per cell]
I 0.000 0.500 0.000 [2 per cell]
O 0.000 0.000 0.500 [1 per cell]
O 0.500 0.500 0.500 [1 per cell]

This record from Alexandria describes a geometry-optimized K2RbYIn structure. The functional is PBE.

Calculated values
- calculated total energy (eV for the cell shown) = -11.1
- formation energy (meV per atom) = 258
- volume (Å³ per cell) = 289.84

a = 6.958 Å, b = 6.958 Å, c = 5.986 Å
α = 90.00°, β = 90.00°, γ = 90.00°
Space group P4/mmm (No. 123)
Symmetry-distinct sites (fractional):
K 0.000 0.500 0.000 [2 per cell]
Rb 0.000 0.000 0.500 [1 per cell]
Y 0.500 0.500 0.500 [1 per cell]
In 0.500 0.500 0.000 [1 per cell]

This record from Alexandria describes a geometry-optimized Mg2CuI structure. The functional is PBE.

Calculated values
- calculated total energy (eV for the cell shown) = -34.6
- E above lowest polymorph (kJ per mole of atoms) = 0.0
- volume (Å³ per cell) = 411.03
- energy relative to the elements, uncorrected (eV/atom) = 0.05

a = 7.590 Å, b = 7.590 Å, c = 7.136 Å
α = 90.00°, β = 90.00°, γ = 90.00°
Space group I-42d (No. 122)
Symmetry-distinct sites (fractional):
Mg 0.203 0.750 0.125 [8 per cell]
Cu 0.000 0.000 0.000 [4 per cell]
I 0.000 0.000 0.500 [4 per cell]

This record from Alexandria describes a geometry-optimized BaPIr structure. The functional is PBE.

Calculated values
- calculated total energy (eV for the cell shown) = -34.2
- formation energy (meV per atom) = -305
- volume (Å³ per cell) = 143.43

a = 11.057 Å, b = 3.589 Å, c = 3.641 Å
α = 90.00°, β = 96.97°, γ = 90.00°
Space group Cm (No. 8)
Symmetry-distinct sites (fractional):
Ba 0.000 0.000 0.000 [2 per cell]
P 0.283 0.000 0.276 [2 per cell]
Ir 0.229 0.500 0.610 [2 per cell]